*a*
Computed, not measured: a geometry-optimized Nd12Dy7Y structure at the PBE level of DFT.

Cell: 8.874 8.874 8.874 Å, 93.98 93.98 93.98°
Element x y z (fractional)
1 Nd 0.822 0.251 0.688
2 Nd 0.749 0.312 0.178
3 Nd 0.482 0.148 0.414
4 Nd 0.852 0.586 0.518
5 Nd 0.312 0.178 0.749
6 Nd 0.586 0.518 0.852
7 Nd 0.414 0.482 0.148
8 Nd 0.688 0.822 0.251
9 Nd 0.148 0.414 0.482
10 Nd 0.518 0.852 0.586
11 Nd 0.251 0.688 0.822
12 Nd 0.178 0.749 0.312
13 Dy 0.913 0.649 0.974
14 Dy 0.351 0.026 0.087
15 Dy 0.026 0.087 0.351
16 Dy 0.500 0.500 0.500
17 Dy 0.974 0.913 0.649
18 Dy 0.649 0.974 0.913
19 Dy 0.087 0.351 0.026
20 Y 0.000 0.000 0.000

---

*b*
Computed, not measured: a geometry-optimized Nd12Dy7Y structure at the PBE level of DFT.

Cell: 6.251 11.555 11.555 Å, 116.82 100.39 100.39°
Element x y z (fractional)
1 Nd 0.088 0.588 0.176
2 Nd 0.087 0.176 0.588
3 Nd 0.586 0.647 0.000
4 Nd 0.414 0.000 0.353
5 Nd 0.499 0.412 0.588
6 Nd 0.061 0.647 0.647
7 Nd 0.939 0.353 0.353
8 Nd 0.501 0.588 0.412
9 Nd 0.586 0.000 0.647
10 Nd 0.414 0.353 0.000
11 Nd 0.913 0.824 0.412
12 Nd 0.912 0.412 0.824
13 Dy 0.126 0.755 0.000
14 Dy 0.874 0.000 0.246
15 Dy 0.629 0.754 0.755
16 Dy 0.500 0.000 0.000
17 Dy 0.371 0.246 0.245
18 Dy 0.126 0.000 0.754
19 Dy 0.874 0.245 0.000
20 Y 0.000 0.000 0.000

---

It is *b* that is the most stable of them.